Record 1
ThIr4Au after structural relaxation, computed with PBE.

Output
As for the crystal system: cubic. As for the calculated formation energy: -0.35 eV per atom. As for the space-group type: F-43m, No. 216.

Cell and atoms, written as POSCAR:
```
ThIr4Au
1.0
0.000 3.787 3.787
3.787 0.000 3.787
3.787 3.787 0.000
Th Ir Au
1 4 1
Cartesian
0.000 0.000 0.000 Th
2.844 2.844 2.844 Ir
4.731 4.731 2.844 Ir
4.731 2.844 4.731 Ir
2.844 4.731 4.731 Ir
5.681 5.681 5.681 Au
```



Record 2
NpMn2Si after structural relaxation, computed with PBE.

Output
The calculation puts the energy at -9.2230 eV/atom. As for the crystal system: tetragonal. As for the space-group type: P4/mmm, No. 123.

Cell and atoms, written as POSCAR:
```
NpMn2Si
1.0
2.828 0.000 0.000
0.000 2.828 0.000
0.000 0.000 6.683
Np Mn Si
1 2 1
Cartesian
0.000 0.000 0.000 Np
1.414 1.414 1.959 Mn
1.414 1.414 4.723 Mn
0.000 0.000 3.341 Si
```



Record 3
Er2TlIn2 after structural relaxation, computed with PBE.

Output
As for the crystal system: tetragonal. As for the calculated formation energy: -0.30 eV per atom. As for the space-group type: P4/mbm, No. 127.

Cell and atoms, written as POSCAR:
```
Er2TlIn2
1.0
7.642 0.000 0.000
0.000 7.642 0.000
0.000 0.000 4.600
Er Tl In
4 2 4
Cartesian
1.277 2.543 0.000 Er
2.543 6.364 0.000 Er
5.098 1.277 0.000 Er
6.364 5.098 0.000 Er
0.000 0.000 2.300 Tl
3.821 3.821 2.300 Tl
1.016 4.837 2.300 In
2.804 1.016 2.300 In
4.837 6.625 2.300 In
6.625 2.804 2.300 In
```



Record 4
VInPd3 after structural relaxation, computed with PBE.

Output
As for the crystal system: cubic. As for the calculated formation energy: 0.51 eV per atom. As for the space-group type: Pm-3m, No. 221.

Cell and atoms, written as POSCAR:
```
VInPd3
1.0
4.681 0.000 0.000
0.000 4.681 0.000
0.000 0.000 4.681
V In Pd
1 1 3
Cartesian
0.000 0.000 0.000 V
2.340 2.340 2.340 In
0.000 0.000 2.340 Pd
0.000 2.340 0.000 Pd
2.340 0.000 0.000 Pd
```



Record 5
Rb2ZnH6Au after structural relaxation, computed with PBE.

Output
The calculation puts the energy at -2.7365 eV/atom. As for the crystal system: tetragonal. As for the space-group type: I4/mmm, No. 139.

Cell and atoms, written as POSCAR:
```
Rb2ZnH6Au
1.0
-2.835 2.835 4.579
2.835 -2.835 4.579
2.835 2.835 -4.579
Rb Zn H Au
2 1 6 1
Cartesian
2.835 0.000 2.290 Rb
0.000 2.835 2.290 Rb
0.000 0.000 0.000 Zn
0.000 0.000 1.603 H
1.592 1.592 0.000 H
1.243 -1.243 4.579 H
-1.243 1.243 4.579 H
1.243 1.243 4.579 H
0.000 0.000 7.555 H
0.000 0.000 4.579 Au
```



Record 6
PaCu4Pd after structural relaxation, computed with PBE.

Output
As for the crystal system: cubic. As for the calculated formation energy: -0.27 eV per atom. As for the space-group type: F-43m, No. 216.

Cell and atoms, written as POSCAR:
```
PaCu4Pd
1.0
0.000 3.543 3.543
3.543 0.000 3.543
3.543 3.543 0.000
Pa Cu Pd
1 4 1
Cartesian
0.000 0.000 0.000 Pa
2.665 2.665 2.665 Cu
4.421 4.421 2.665 Cu
4.421 2.665 4.421 Cu
2.665 4.421 4.421 Cu
5.315 5.315 5.315 Pd
```



Record 7
Li2Pr5Bi5 after structural relaxation, computed with PBE.

Output
As for the crystal system: monoclinic. As for the calculated formation energy: -0.69 eV per atom. As for the space-group type: C2/m, No. 12.

Cell and atoms, written as POSCAR:
```
Li2Pr5Bi5
1.0
7.656 -2.278 0.000
7.656 2.278 0.000
-5.655 0.000 11.417
Li Pr Bi
2 5 5
Cartesian
-0.444 0.000 3.224 Li
10.101 0.000 8.193 Li
3.479 0.000 1.878 Pr
2.561 0.000 5.488 Pr
7.656 0.000 0.000 Pr
7.096 0.000 5.929 Pr
6.178 0.000 9.539 Pr
-2.828 0.000 5.709 Bi
-3.562 0.000 10.439 Bi
0.634 0.000 8.193 Bi
9.022 0.000 3.224 Bi
13.219 0.000 0.978 Bi
```



Record 8
Co2AgAu after structural relaxation, computed with PBE.

Output
As for the crystal system: tetragonal. As for the calculated formation energy: 0.38 eV per atom. As for the space-group type: P4/mmm, No. 123.

Cell and atoms, written as POSCAR:
```
Co2AgAu
1.0
2.755 0.000 0.000
0.000 2.755 0.000
0.000 0.000 7.704
Co Ag Au
2 1 1
Cartesian
0.000 0.000 1.909 Co
0.000 0.000 5.796 Co
1.377 1.377 3.852 Ag
1.377 1.377 0.000 Au
```



| no. | magnetization (μB/f.u.) |
| --- | --- |
| 1 | 0.00 |
| 2 | 0.61 |
| 3 | 0.00 |
| 4 | 1.69 |
| 5 | 0.00 |
| 6 | 0.00 |
| 7 | 1.23 |
| 8 | 3.56 |